Entry from Alexandria: a relaxed Fe3TcO crystal (PBE+U).

a b c (Å): 4.1221 4.1221 4.1221
angles (deg): 90.00 90.00 90.00
Site moments in Bohr magnetons follow the coordinates.
Element x y z (fractional)
Fe: 0.5000 0.0000 0.0000  3.66
O: 0.0000 0.0000 0.0000  0.17
Fe: 0.0000 0.0000 0.5000  3.69
Tc: 0.5000 0.5000 0.5000  1.31
Fe: 0.0000 0.5000 0.0000  3.65

Values from the calculation:
As for the total energy: -6.21 eV/atom. Its space-group type is No. 221. Its energy relative to the lowest polymorph listed for this composition is 0.00 eV/f.u.